This record from the Alexandria database describes crystalline ScCrNi2C at its relaxed geometry. The functional is PBE. Values from VASP.

Crystal system: tetragonal
Energy above the lowest structure with this stoichiometry (eV per atom): 0.000

Structure (Quantum ESPRESSO input):
```
&SYSTEM
  ibrav = 0, nat = 5, ntyp = 4
/
ATOMIC_SPECIES
Ni 58.69 Ni.upf
Cr 52.00 Cr.upf
Sc 44.96 Sc.upf
C 12.01 C.upf
CELL_PARAMETERS angstrom
3.8867 0.0000 0.0000
0.0000 3.8867 0.0000
0.0000 0.0000 3.9044
ATOMIC_POSITIONS crystal
Ni 0.0000 0.5000 0.0000
Ni 0.5000 0.0000 0.0000
Cr 0.0000 0.0000 0.5000
Sc 0.5000 0.5000 0.5000
C 0.0000 0.0000 0.0000
```

This record from the Alexandria database describes crystalline Hg2BiH at its relaxed geometry. The functional is PBE. Values from VASP.

Crystal system: monoclinic
Energy above the lowest structure with this stoichiometry (eV per atom): 0.000

Structure (Quantum ESPRESSO input):
```
&SYSTEM
  ibrav = 0, nat = 8, ntyp = 3
/
ATOMIC_SPECIES
Bi 208.98 Bi.upf
H 1.01 H.upf
Hg 200.59 Hg.upf
CELL_PARAMETERS angstrom
-2.0046 -0.3336 2.7577
5.8124 0.9983 2.2186
2.9277 10.7021 3.4232
ATOMIC_POSITIONS crystal
Bi 0.3607 0.7213 0.5227
Bi 0.6394 0.2787 0.4773
H 0.1445 0.2890 0.9788
H 0.8555 0.7110 0.0212
Hg 0.2259 0.4517 0.8067
Hg 0.5181 0.0361 0.1729
Hg 0.4819 0.9639 0.8271
Hg 0.7741 0.5483 0.1933
```

This record from the Alexandria database describes crystalline RbAlSn at its relaxed geometry. The functional is PBE. Values from VASP.

Crystal system: orthorhombic
Total DFT energy (no corrections) (eV/atom): -2.9880

Structure (Quantum ESPRESSO input):
```
&SYSTEM
  ibrav = 0, nat = 12, ntyp = 3
/
ATOMIC_SPECIES
Sn 118.71 Sn.upf
Al 26.98 Al.upf
Rb 85.47 Rb.upf
CELL_PARAMETERS angstrom
-4.0300 -6.6210 4.3436
4.4888 -1.9459 1.1985
0.0928 4.3700 6.7474
ATOMIC_POSITIONS crystal
Sn 0.3318 0.2500 0.4005
Sn 0.6682 0.7500 0.5995
Sn 0.8318 0.2500 0.0995
Sn 0.1682 0.7500 0.9005
Al 0.8433 0.7500 0.9107
Al 0.1567 0.2500 0.0893
Al 0.6567 0.2500 0.4107
Al 0.3433 0.7500 0.5893
Rb 0.9935 0.2500 0.6594
Rb 0.4935 0.2500 0.8406
Rb 0.0065 0.7500 0.3406
Rb 0.5065 0.7500 0.1594
```

This record from the Alexandria database describes crystalline LaTb2Tm8 at its relaxed geometry. The functional is PBE. Values from VASP.

Crystal system: monoclinic
Energy above the lowest structure with this stoichiometry (eV per atom): 0.000

Structure (Quantum ESPRESSO input):
```
&SYSTEM
  ibrav = 0, nat = 11, ntyp = 3
/
ATOMIC_SPECIES
Tm 168.93 Tm.upf
Tb 158.93 Tb.upf
La 138.91 La.upf
CELL_PARAMETERS angstrom
-0.4376 -4.9585 0.3356
7.2771 -0.4381 3.0165
-5.2337 3.4404 6.9236
ATOMIC_POSITIONS crystal
Tm 0.4088 0.5414 0.8177
Tm 0.8619 0.8161 0.7238
Tm 0.0458 0.7246 0.0915
Tm 0.1381 0.1839 0.2762
Tm 0.5912 0.4586 0.1823
Tm 0.6825 0.9076 0.3650
Tm 0.9542 0.2754 0.9085
Tm 0.3175 0.0924 0.6350
Tb 0.7717 0.3628 0.5434
Tb 0.2283 0.6372 0.4566
La 0.5000 0.0000 0.0000
```

This record from the Alexandria database describes crystalline BaCdSnPd2 at its relaxed geometry. The functional is PBE. Values from VASP.

Crystal system: tetragonal
Energy above the lowest structure with this stoichiometry (eV per atom): 0.726

Structure (Quantum ESPRESSO input):
```
&SYSTEM
  ibrav = 0, nat = 5, ntyp = 4
/
ATOMIC_SPECIES
Sn 118.71 Sn.upf
Cd 112.41 Cd.upf
Pd 106.42 Pd.upf
Ba 137.33 Ba.upf
CELL_PARAMETERS angstrom
-1.7384 -4.5604 -1.4974
6.0281 -2.1915 -0.3243
-0.2807 -1.4933 4.8737
ATOMIC_POSITIONS crystal
Sn 0.0000 0.0000 0.0000
Cd 0.5000 0.5000 0.5000
Pd 0.0000 0.0000 0.5000
Pd 0.5000 0.0000 0.0000
Ba 0.0000 0.5000 0.0000
```

This record from the Alexandria database describes crystalline Te2HPd at its relaxed geometry. The functional is PBE. Values from VASP.

Crystal system: cubic
Energy above the lowest structure with this stoichiometry (eV per atom): 0.430

Structure (Quantum ESPRESSO input):
```
&SYSTEM
  ibrav = 0, nat = 4, ntyp = 3
/
ATOMIC_SPECIES
H 1.01 H.upf
Te 127.60 Te.upf
Pd 106.42 Pd.upf
CELL_PARAMETERS angstrom
0.0396 -4.4429 1.5753
-1.9730 -1.0465 4.1514
-4.0036 -2.4843 0.1474
ATOMIC_POSITIONS crystal
H 0.0000 0.0000 0.0000
Te 0.7500 0.7500 0.7500
Te 0.2500 0.2500 0.2500
Pd 0.5000 0.5000 0.5000
```

This record from the Alexandria database describes crystalline ZrHg2Pt2 at its relaxed geometry. The functional is PBE. Values from VASP.

Crystal system: tetragonal
Total DFT energy (no corrections) (eV/atom): -4.5045

Structure (Quantum ESPRESSO input):
```
&SYSTEM
  ibrav = 0, nat = 10, ntyp = 3
/
ATOMIC_SPECIES
Pt 195.08 Pt.upf
Zr 91.22 Zr.upf
Hg 200.59 Hg.upf
CELL_PARAMETERS angstrom
7.0521 0.0000 0.0000
0.0000 7.0521 0.0000
0.0000 0.0000 4.0487
ATOMIC_POSITIONS crystal
Pt 0.6345 0.1345 0.0000
Pt 0.8655 0.6345 0.0000
Pt 0.1345 0.3655 0.0000
Pt 0.3655 0.8655 0.0000
Zr 0.5000 0.5000 0.0000
Zr 0.0000 0.0000 0.0000
Hg 0.3309 0.1691 0.5000
Hg 0.1691 0.6691 0.5000
Hg 0.8309 0.3309 0.5000
Hg 0.6691 0.8309 0.5000
```

This record from the Alexandria database describes crystalline Hf2Zr at its relaxed geometry. The functional is PBE. Values from VASP.

Crystal system: tetragonal
Total DFT energy (no corrections) (eV/atom): -9.4266

Structure (Quantum ESPRESSO input):
```
&SYSTEM
  ibrav = 0, nat = 3, ntyp = 2
/
ATOMIC_SPECIES
Hf 178.49 Hf.upf
Zr 91.22 Zr.upf
CELL_PARAMETERS angstrom
-2.7930 -0.9385 -1.1785
-1.1424 -0.2989 2.9456
-0.1266 7.0520 -1.0430
ATOMIC_POSITIONS crystal
Hf 0.6698 0.6698 0.3397
Hf 0.3302 0.3302 0.6603
Zr 0.0000 0.0000 0.0000
```